1.
LuInAgGe | PBE-GGA | relaxed

Cell and atoms, written as CIF:
```
data_LuInAgGe
_chemical_formula_sum 'Lu4 In4 Ag4 Ge4'
_cell_length_a 7.014
_cell_length_b 7.014
_cell_length_c 7.014
_cell_angle_alpha 90.00
_cell_angle_beta 90.00
_cell_angle_gamma 90.00
_symmetry_space_group_name_H-M 'F -4 3 m'
_symmetry_Int_Tables_number 216
_symmetry_space_group_name_Hall 'F -4 2 3'
loop_
_atom_site_label
_atom_site_type_symbol
_atom_site_fract_x
_atom_site_fract_y
_atom_site_fract_z
Lu1 Lu 0.000 0.000 0.000
In1 In 0.000 0.000 0.500
Ag1 Ag 0.250 0.250 0.250
Ge1 Ge 0.250 0.250 0.750
```

## Properties
The calculation puts the energy of formation from the pure elements at -185 meV per atom.


2.
Cr2SiRu | PBE-GGA | relaxed

Cell and atoms, written as CIF:
```
data_Cr2SiRu
_chemical_formula_sum 'Cr8 Si4 Ru4'
_cell_length_a 5.847
_cell_length_b 5.847
_cell_length_c 5.847
_cell_angle_alpha 90.00
_cell_angle_beta 90.00
_cell_angle_gamma 90.00
_symmetry_space_group_name_H-M 'F -4 3 m'
_symmetry_Int_Tables_number 216
_symmetry_space_group_name_Hall 'F -4 2 3'
loop_
_atom_site_label
_atom_site_type_symbol
_atom_site_fract_x
_atom_site_fract_y
_atom_site_fract_z
Cr1 Cr 0.000 0.000 0.000
Cr2 Cr 0.250 0.250 0.250
Si1 Si 0.250 0.250 0.750
Ru1 Ru 0.000 0.000 0.500
```

## Properties
The formation energy from raw total energies is -249 meV/atom.


3.
Ca2Mg9Zn | PBE-GGA | relaxed

Cell and atoms, written as CIF:
```
data_Ca2Mg9Zn
_chemical_formula_sum 'Ca6 Mg27 Zn3'
_cell_length_a 5.9980
_cell_length_b 5.9980
_cell_length_c 31.0411
_cell_angle_alpha 90.00
_cell_angle_beta 90.00
_cell_angle_gamma 120.00
_symmetry_space_group_name_H-M 'R -3 m'
_symmetry_Int_Tables_number 166
_symmetry_space_group_name_Hall '-R 3 2"'
loop_
_atom_site_label
_atom_site_type_symbol
_atom_site_fract_x
_atom_site_fract_y
_atom_site_fract_z
Ca1 Ca 0.0000 0.0000 0.1461
Mg1 Mg 0.0000 0.0000 0.3337
Mg2 Mg 0.0000 0.0000 0.5000
Mg3 Mg 0.0015 0.5008 0.9160
Zn1 Zn 0.0000 0.0000 0.0000
```

## Properties
The calculation puts the energy of formation from the pure elements at 80 meV per atom.


4.
CrReAg2W | PBE-GGA | relaxed

Cell and atoms, written as CIF:
```
data_CrReAg2W
_chemical_formula_sum 'Cr1 Re1 Ag2 W1'
_cell_length_a 4.711
_cell_length_b 4.711
_cell_length_c 4.425
_cell_angle_alpha 90.00
_cell_angle_beta 90.00
_cell_angle_gamma 90.00
_symmetry_space_group_name_H-M 'P 4/m m m'
_symmetry_Int_Tables_number 123
_symmetry_space_group_name_Hall '-P 4 2'
loop_
_atom_site_label
_atom_site_type_symbol
_atom_site_fract_x
_atom_site_fract_y
_atom_site_fract_z
Cr1 Cr 0.000 0.000 0.000
Re1 Re 0.000 0.000 0.500
Ag1 Ag 0.000 0.500 0.000
W1 W 0.500 0.500 0.500
```

## Properties
The calculation puts the energy of formation from the pure elements at 2059 meV per atom.